# 1
Material: CaY2Pb
Method: DFT, PBE
State: relaxed

Lattice parameters (Å, degrees): 4.957 4.956 4.888 90.00 90.00 90.00
Fractional positions:
Y (0.000, 0.000, 0.000)
Y (0.500, 0.500, 0.000)
Ca (0.500, 0.000, 0.500)
Pb (0.000, 0.500, 0.500)

Summary:
* SG: P4/mmm, No. 123
* DOS at the Fermi energy: 4.03 states/eV per cell
* calculated formation energy: -5.97 kcal/mol of atoms

=====

# 2
Material: CaY2Pb
Method: DFT, PBE
State: relaxed

Lattice parameters (Å, degrees): 4.214 4.214 7.003 90.00 90.00 90.00
Fractional positions:
Y (0.000, 0.000, 0.981)
Ca (0.500, 0.500, 0.250)
Y (0.000, 0.000, 0.519)
Pb (0.500, 0.500, 0.750)

Summary:
* SG: P4/mmm, No. 123
* DOS at the Fermi energy: 7.20 states/eV per cell
* calculated formation energy: -3.86 kcal/mol of atoms

=====

# 3
Material: CaY2Pb
Method: DFT, PBE
State: relaxed

Lattice parameters (Å, degrees): 6.729 6.729 5.458 66.10 66.10 34.80
Fractional positions:
Ca (0.250, 0.250, 0.250)
Y (0.466, 0.466, 0.534)
Pb (0.750, 0.750, 0.750)
Y (0.034, 0.034, 0.966)

Summary:
* SG: Immm, No. 71
* DOS at the Fermi energy: 3.43 states/eV per cell
* calculated formation energy: -5.90 kcal/mol of atoms

=====

# 4
Material: Ca2Y2Pb
Method: DFT, PBE
State: relaxed

Lattice parameters (Å, degrees): 8.102 8.102 5.532 90.00 90.00 90.00
Last column: magnetic moment on the atom in μB.
Fractional positions:
Pb (0.000, 0.000, 0.000)  0.00
Ca (0.840, 0.340, 0.500)  0.01
Ca (0.160, 0.660, 0.500)  0.01
Y (0.148, 0.352, 0.000)  0.12
Pb (0.500, 0.500, 0.000)  0.00
Y (0.852, 0.648, 0.000)  0.12
Ca (0.340, 0.160, 0.500)  0.01
Y (0.352, 0.852, 0.000)  0.11
Ca (0.660, 0.840, 0.500)  0.01
Y (0.648, 0.148, 0.000)  0.11

Summary:
* SG: P4/mbm, No. 127
* DOS at the Fermi energy: 10.78 states/eV per cell
* calculated formation energy: -0.42 kcal/mol of atoms

=====

# 5
Material: CaY3Pb
Method: DFT, PBE
State: relaxed

Lattice parameters (Å, degrees): 5.874 5.874 5.874 90.00 90.00 90.00
Last column: magnetic moment on the atom in μB.
Fractional positions:
Y (0.000, 0.000, 0.500)  0.13
Y (0.500, 0.000, 0.000)  0.11
Ca (0.500, 0.500, 0.500)  0.02
Y (0.000, 0.500, 0.000)  0.12
Pb (0.000, 0.000, 0.000)  -0.01

Summary:
* SG: Pm-3m, No. 221
* DOS at the Fermi energy: 7.69 states/eV per cell
* calculated formation energy: 4.73 kcal/mol of atoms

=====

# 6
Material: CaYPb
Method: DFT, PBE
State: relaxed

Lattice parameters (Å, degrees): 7.719 7.719 3.625 76.42 76.42 27.16
Fractional positions:
Y (0.684, 0.684, 0.316)
Ca (0.986, 0.986, 0.014)
Pb (0.330, 0.330, 0.670)

Summary:
* SG: I4mm, No. 107
* DOS at the Fermi energy: 3.08 states/eV per cell
* calculated formation energy: -7.18 kcal/mol of atoms

=====

# 7
Material: CaY2Pb
Method: DFT, PBE
State: relaxed

Lattice parameters (Å, degrees): 4.622 3.926 7.691 64.89 90.00 90.00
Fractional positions:
Pb (0.500, 0.750, 0.750)
Ca (0.500, 0.250, 0.250)
Y (0.000, 0.960, 0.983)
Y (0.000, 0.540, 0.517)

Summary:
* SG: P2/m, No. 10
* DOS at the Fermi energy: 4.93 states/eV per cell
* calculated formation energy: -4.28 kcal/mol of atoms

=====

# 8
Material: CaZn2Pb
Method: DFT, PBE
State: relaxed

Lattice parameters (Å, degrees): 8.614 8.614 8.614 25.88 25.88 25.88
Fractional positions:
Zn (0.496, 0.496, 0.496)
Pb (0.750, 0.750, 0.750)
Ca (0.250, 0.250, 0.250)
Zn (0.004, 0.004, 0.004)

Summary:
* SG: R-3m, No. 166
* DOS at the Fermi energy: 2.37 states/eV per cell
* calculated formation energy: 0.91 kcal/mol of atoms

=====

Listing uncorrected energy for the structures above in their given order: -19.7 -19.3 -19.7 -20.7 -24.1 -13.1 -19.4 -8.1 eV per formula unit.